[1]
{"formula": "Cs4Sn23", "functional": "PBE-GGA", "state": "relaxed", "sg": "Pm-3n", "formation_energy_ev_per_fu": -4.84, "magmom_total_mub_per_atom": 0.00, "e_tot_ev_per_atom": -3.72, "lattice_angstrom": [[12.693, 0.000, 0.000], [0.000, 12.693, 0.000], [0.000, 0.000, 12.693]], "species": ["Cs", "Cs", "Cs", "Cs", "Cs", "Cs", "Cs", "Cs", "Sn", "Sn", "Sn", "Sn", "Sn", "Sn", "Sn", "Sn", "Sn", "Sn", "Sn", "Sn", "Sn", "Sn", "Sn", "Sn", "Sn", "Sn", "Sn", "Sn", "Sn", "Sn", "Sn", "Sn", "Sn", "Sn", "Sn", "Sn", "Sn", "Sn", "Sn", "Sn", "Sn", "Sn", "Sn", "Sn", "Sn", "Sn", "Sn", "Sn", "Sn", "Sn", "Sn", "Sn", "Sn", "Sn"], "frac_coords": [[0.000, 0.000, 0.000], [0.000, 0.250, 0.500], [0.000, 0.750, 0.500], [0.250, 0.500, 0.000], [0.500, 0.000, 0.250], [0.500, 0.000, 0.750], [0.500, 0.500, 0.500], [0.750, 0.500, 0.000], [0.000, 0.307, 0.118], [0.000, 0.307, 0.882], [0.000, 0.500, 0.250], [0.000, 0.500, 0.750], [0.000, 0.693, 0.118], [0.000, 0.693, 0.882], [0.118, 0.000, 0.307], [0.118, 0.000, 0.693], [0.184, 0.184, 0.184], [0.184, 0.184, 0.816], [0.184, 0.816, 0.184], [0.184, 0.816, 0.816], [0.193, 0.500, 0.382], [0.193, 0.500, 0.618], [0.250, 0.000, 0.500], [0.307, 0.118, 0.000], [0.307, 0.882, 0.000], [0.316, 0.316, 0.316], [0.316, 0.316, 0.684], [0.316, 0.684, 0.316], [0.316, 0.684, 0.684], [0.382, 0.193, 0.500], [0.382, 0.807, 0.500], [0.500, 0.250, 0.000], [0.500, 0.382, 0.193], [0.500, 0.382, 0.807], [0.500, 0.618, 0.193], [0.500, 0.618, 0.807], [0.500, 0.750, 0.000], [0.618, 0.193, 0.500], [0.618, 0.807, 0.500], [0.684, 0.316, 0.316], [0.684, 0.316, 0.684], [0.684, 0.684, 0.316], [0.684, 0.684, 0.684], [0.693, 0.118, 0.000], [0.693, 0.882, 0.000], [0.750, 0.000, 0.500], [0.807, 0.500, 0.382], [0.807, 0.500, 0.618], [0.816, 0.184, 0.184], [0.816, 0.184, 0.816], [0.816, 0.816, 0.184], [0.816, 0.816, 0.816], [0.882, 0.000, 0.307], [0.882, 0.000, 0.693]]}



[2]
{"formula": "CsSn3", "functional": "PBE-GGA", "state": "relaxed", "sg": "Pnma", "formation_energy_ev_per_fu": -0.57, "magmom_total_mub_per_atom": 0.00, "e_tot_ev_per_atom": -3.36, "lattice_angstrom": [[9.037, 0.000, 0.000], [0.000, 4.957, 0.000], [0.000, 0.000, 13.916]], "species": ["Cs", "Cs", "Cs", "Cs", "Sn", "Sn", "Sn", "Sn", "Sn", "Sn", "Sn", "Sn", "Sn", "Sn", "Sn", "Sn"], "frac_coords": [[0.123, 0.250, 0.128], [0.377, 0.750, 0.628], [0.623, 0.250, 0.372], [0.877, 0.750, 0.872], [0.046, 0.250, 0.655], [0.119, 0.250, 0.434], [0.215, 0.250, 0.850], [0.285, 0.750, 0.350], [0.381, 0.750, 0.934], [0.454, 0.750, 0.155], [0.546, 0.250, 0.845], [0.619, 0.250, 0.066], [0.715, 0.250, 0.650], [0.785, 0.750, 0.150], [0.881, 0.750, 0.566], [0.954, 0.750, 0.345]]}